{
  "formula": "La2Zn3InGe4",
  "functional": "PBE",
  "state": "relaxed",
  "lattice": [[4.436, 0.000, 0.000], [0.000, 4.436, 0.000], [0.000, 0.000, 10.982]],
  "species": ["La", "La", "Zn", "Zn", "Zn", "In", "Ge", "Ge", "Ge", "Ge"],
  "frac_coords": [[0.000, 0.500, 0.233], [0.500, 0.000, 0.767], [0.000, 0.500, 0.882], [0.500, 0.000, 0.118], [0.500, 0.500, 0.500], [0.000, 0.000, 0.500], [0.000, 0.000, 0.000], [0.000, 0.500, 0.655], [0.500, 0.000, 0.345], [0.500, 0.500, 0.000]],
  "n_ef_per_ev_atom": 0.52,
  "volume_a3_per_atom": 21.6,
  "formation_enthalpy_0k_ev_per_atom": -0.3709
}